No. 1
The following is a PBE-GGA calculation of crystalline SrAl2Br2 at its relaxed geometry, from Alexandria via LeMat-Bulk.

Output
For the volume, the calculation gives 30.923 A^3/atom. Its space-group type is I4/mmm. As for the density of states at the Fermi level: 0.4822 states/eV per atom. The raw total energy comes out at -13.66 eV per cell.

Unit cell a=7.152 b=7.152 c=7.152 alpha=139.22 beta=139.22 gamma=59.05
Fractional positions:
1 Sr 0.000 0.000 0.000
2 Al 0.389 0.389 0.000
3 Al 0.611 0.611 0.000
4 Br 0.250 0.750 0.500
5 Br 0.750 0.250 0.500



No. 2
The following is a PBE-GGA calculation of crystalline Y3Ga6Cu5 at its relaxed geometry, from Alexandria via LeMat-Bulk.

Output
For the volume, the calculation gives 17.243 A^3/atom. Its space-group type is Pmmn. As for the density of states at the Fermi level: 0.5066 states/eV per atom. The raw total energy comes out at -128.48 eV per cell. The calculation puts the formation energy from the elements at -0.44 eV per atom.

Unit cell a=4.233 b=12.522 c=9.109 alpha=90.00 beta=90.00 gamma=90.00
Fractional positions:
1 Y 0.250 0.047 0.249
2 Y 0.250 0.453 0.249
3 Y 0.250 0.750 0.247
4 Y 0.750 0.250 0.753
5 Y 0.750 0.547 0.751
6 Y 0.750 0.953 0.751
7 Ga 0.250 0.084 0.893
8 Ga 0.250 0.250 0.069
9 Ga 0.250 0.250 0.446
10 Ga 0.250 0.416 0.893
11 Ga 0.250 0.603 0.526
12 Ga 0.250 0.897 0.526
13 Ga 0.750 0.103 0.474
14 Ga 0.750 0.397 0.474
15 Ga 0.750 0.584 0.107
16 Ga 0.750 0.750 0.554
17 Ga 0.750 0.750 0.931
18 Ga 0.750 0.916 0.107
19 Cu 0.250 0.094 0.619
20 Cu 0.250 0.406 0.619
21 Cu 0.250 0.620 0.969
22 Cu 0.250 0.750 0.741
23 Cu 0.250 0.880 0.969
24 Cu 0.750 0.120 0.031
25 Cu 0.750 0.250 0.259
26 Cu 0.750 0.380 0.031
27 Cu 0.750 0.594 0.381
28 Cu 0.750 0.906 0.381



No. 3
The following is a PBE-GGA calculation of crystalline PaFeI at its relaxed geometry, from Alexandria via LeMat-Bulk.

Output
For the volume, the calculation gives 27.468 A^3/atom. Its space-group type is C2/m. As for the density of states at the Fermi level: 1.1638 states/eV per atom. The raw total energy comes out at -41.70 eV per cell.

Unit cell a=3.966 b=3.966 c=12.295 alpha=99.24 beta=99.24 gamma=60.15
Fractional positions:
1 Pa 0.050 0.050 0.144
2 Pa 0.950 0.950 0.856
3 Fe 0.343 0.343 0.029
4 Fe 0.657 0.657 0.971
5 I 0.220 0.220 0.665
6 I 0.780 0.780 0.335